## LiTl2Pd3 (PBE)

Data for a geometry-optimized LiTl2Pd3 structure.

a b c (Å): 4.7529 14.3092 6.2457
angles (deg): 90.00 90.00 90.00
Closest atoms and distances in Å follow each position.
Space group Cmmm (No. 65)
Inequivalent atoms, fractional coordinates:
Li 0.0000 0.1642 0.0000 x4  8 Pd 2.73-2.80
Tl 0.0000 0.1661 0.5000 x4  8 Pd 2.83-2.91, 2 Li 3.12
Tl 0.0000 0.5000 0.0000 x2  8 Pd 2.83-2.89, 2 Tl 3.12
Tl 0.0000 0.5000 0.5000 x2  8 Pd 2.86-3.01, 2 Tl 3.12
Pd 0.0000 0.0000 0.2452 x4  2 Li 2.80, 6 Tl 2.83-2.86, 1 Pd 3.06
Pd 0.0000 0.3254 0.2327 x8  3 Li 2.73-2.79, 5 Tl 2.83-3.01, 1 Pd 2.91

- density of states at the Fermi level (states/eV/cell) = 7.65
- energy of formation (meV/atom) = -238

## NaMgNiPb2 (PBE)

Data for a geometry-optimized NaMgNiPb2 structure.

a b c (Å): 5.1691 5.1691 4.9640
angles (deg): 90.00 90.00 90.00
Closest atoms and distances in Å follow each position.
Space group P4/mmm (No. 123)
Inequivalent atoms, fractional coordinates:
Na 0.0000 0.0000 0.0000 x1  8 Pb 3.58, 4 Mg 3.66
Mg 0.5000 0.5000 0.0000 x1  2 Ni 2.48
Ni 0.5000 0.5000 0.5000 x1  2 Mg 2.48, 4 Pb 2.58
Pb 0.0000 0.5000 0.5000 x2  2 Ni 2.58

- density of states at the Fermi level (states/eV/cell) = 2.65
- energy of formation (meV/atom) = 13

## Sr2IrPb (PBE)

Data for a geometry-optimized Sr2IrPb structure.

a b c (Å): 3.7255 3.7255 9.1309
angles (deg): 90.00 90.00 90.00
Closest atoms and distances in Å follow each position.
Space group P4mm (No. 99)
Inequivalent atoms, fractional coordinates:
Sr 0.0000 0.0000 0.0000 x1  1 Ir 3.44, 4 Pb 3.47, 4 Sr 3.73
Sr 0.5000 0.5000 0.4005 x1  1 Pb 3.22, 4 Ir 3.33
Ir 0.0000 0.0000 0.6230 x1  4 Pb 2.89
Pb 0.5000 0.5000 0.7533 x1  4 Ir 2.89, 1 Sr 3.22

- density of states at the Fermi level (states/eV/cell) = 4.54
- energy of formation (meV/atom) = -17

## CaTa2Tl (PBE)

Data for a geometry-optimized CaTa2Tl structure.

a b c (Å): 2.9604 2.9604 10.0881
angles (deg): 90.00 90.00 90.00
Closest atoms and distances in Å follow each position.
Space group P4/mmm (No. 123)
Inequivalent atoms, fractional coordinates:
Ca 0.0000 0.0000 0.0000 x1  4 Ca 2.96
Ta 0.5000 0.5000 0.2698 x2  4 Ta 2.96, 4 Tl 3.13
Tl 0.0000 0.0000 0.5000 x1  4 Tl 2.96, 8 Ta 3.13

- density of states at the Fermi level (states/eV/cell) = 3.84
- energy of formation (meV/atom) = 733

## BSBr3 (PBE)

Data for a geometry-optimized BSBr3 structure.

a b c (Å): 5.1589 5.1589 5.1589
angles (deg): 90.00 90.00 90.00
Closest atoms and distances in Å follow each position.
Space group Pm-3m (No. 221)
Inequivalent atoms, fractional coordinates:
B 0.0000 0.0000 0.0000 x1  12 Br 3.65
S 0.5000 0.5000 0.5000 x1  6 Br 2.58
Br 0.0000 0.5000 0.5000 x3  2 S 2.58

- density of states at the Fermi level (states/eV/cell) = 4.18
- raw formation energy (eV/atom) = 1.1179

## SmPuOsRh (PBE)

Data for a geometry-optimized SmPuOsRh structure.

a b c (Å): 6.8913 6.8913 6.8913
angles (deg): 90.00 90.00 90.00
Closest atoms and distances in Å follow each position.
Space group F-43m (No. 216)
Inequivalent atoms, fractional coordinates:
Sm 0.0000 0.0000 0.0000 x4  4 Rh 2.98, 4 Os 2.98
Pu 0.0000 0.0000 0.5000 x4  4 Os 2.98, 4 Rh 2.98
Os 0.2500 0.2500 0.7500 x4  4 Sm 2.98, 4 Pu 2.98
Rh 0.2500 0.2500 0.2500 x4  4 Sm 2.98, 4 Pu 2.98

- density of states at the Fermi level (states/eV/cell) = 27.39
- energy of formation (meV/atom) = -219

## Hg4TeBr2Cl (PBE)

Data for a geometry-optimized Hg4TeBr2Cl structure.

a b c (Å): 8.3590 9.2102 7.5279
angles (deg): 90.00 90.00 90.00
Closest atoms and distances in Å follow each position.
Space group Pmn2_1 (No. 31)
Inequivalent atoms, fractional coordinates:
Hg 0.0000 0.0800 0.0000 x2  1 Te 2.79, 2 Br 2.80, 1 Cl 3.03
Hg 0.0000 0.8189 0.6112 x2  1 Cl 2.52, 1 Te 2.73
Hg 0.1678 0.3520 0.4895 x4  1 Hg 2.80, 1 Te 3.03
Te 0.0000 0.7782 0.9704 x2  4 Hg 2.73-3.03
Br 0.2202 0.3073 0.9641 x4  2 Hg 2.80-2.84
Cl 0.0000 0.0293 0.3977 x2  1 Hg 2.52

- density of states at the Fermi level (states/eV/cell) = 5.84
- raw formation energy (eV/atom) = -0.2781

## LaGe2RhS (PBE)

Data for a geometry-optimized LaGe2RhS structure.

a b c (Å): 7.6489 4.2049 6.6139
angles (deg): 90.00 97.40 90.00
Closest atoms and distances in Å follow each position.
Space group Cm (No. 8)
Inequivalent atoms, fractional coordinates:
La 0.0000 0.0000 0.0000 x2  3 S 2.88-2.92, 4 Ge 3.06-3.21
Ge 0.0677 0.0000 0.4895 x2  1 S 2.44, 3 Rh 2.49-2.62
Ge 0.2016 0.5000 0.2735 x2  3 Rh 2.63-2.68, 2 Ge 2.81
Rh 0.3958 0.0000 0.4163 x2  6 Ge 2.49-2.68, 1 S 2.55
S 0.3040 0.0000 0.7743 x2  1 Ge 2.44, 1 Rh 2.55

- density of states at the Fermi level (states/eV/cell) = 2.01
- raw formation energy (eV/atom) = -0.8446

## PuSe2BrO8 (PBE)

Data for a geometry-optimized PuSe2BrO8 structure.

a b c (Å): 5.9166 5.9166 8.1350
angles (deg): 90.00 90.00 120.00
Closest atoms and distances in Å follow each position.
Space group P-3m1 (No. 164)
Inequivalent atoms, fractional coordinates:
Pu 0.0000 0.0000 0.0000 x1  6 O 2.20
Se 0.3333 0.6667 0.7726 x2  4 O 1.62-1.70
Br 0.0000 0.0000 0.5000 x1  12 O 3.41-3.47
O 0.1805 0.3610 0.8527 x6  1 Se 1.70
O 0.3333 0.6667 0.5738 x2  1 Se 1.62

- density of states at the Fermi level (states/eV/cell) = 17.36
- raw formation energy (eV/atom) = -0.9612

## Li4Ac2AlIn3 (PBE)

Data for a geometry-optimized Li4Ac2AlIn3 structure.

a b c (Å): 4.6404 4.6404 11.7186
angles (deg): 90.00 90.00 90.00
Closest atoms and distances in Å follow each position.
Space group P-4m2 (No. 115)
Inequivalent atoms, fractional coordinates:
Li 0.0000 0.0000 0.0000 x1  4 In 2.85
Li 0.0000 0.5000 0.3777 x2  3 In 2.73-2.77, 2 Al 2.73
Li 0.5000 0.5000 0.0000 x1  4 In 2.85
Ac 0.0000 0.5000 0.7374 x2  8 Li 3.55-3.85, 6 In 3.58-3.62, 2 Al 3.62
Al 0.5000 0.5000 0.5000 x1  4 Li 2.73
In 0.0000 0.0000 0.5000 x1  4 Li 2.73
In 0.0000 0.5000 0.1412 x2  5 Li 2.77-2.85

- density of states at the Fermi level (states/eV/cell) = 8.56
- energy of formation (meV/atom) = -254

## Tb2Sm6DyY3 (PBE)

Data for a geometry-optimized Tb2Sm6DyY3 structure.

a b c (Å): 6.2367 10.7987 11.8696
angles (deg): 90.00 100.05 90.00
Closest atoms and distances in Å follow each position.
Space group C2/m (No. 12)
Inequivalent atoms, fractional coordinates:
Tb 0.0000 0.1666 0.0000 x4  6 Sm 3.58, 3 Tb 3.60, 3 Dy 3.60
Sm 0.2502 0.0000 0.2496 x4  1 Dy 3.58, 2 Tb 3.58, 3 Y 3.59, 6 Sm 3.60
Sm 0.2500 0.1666 0.7506 x8  2 Tb 3.58, 1 Dy 3.58, 3 Y 3.59, 6 Sm 3.60
Dy 0.0000 0.5000 0.0000 x2  6 Sm 3.58, 6 Tb 3.60
Y 0.0000 0.0000 0.5000 x2  6 Sm 3.59, 6 Y 3.60
Y 0.0000 0.3333 0.5000 x4  6 Sm 3.59, 6 Y 3.60

- density of states at the Fermi level (states/eV/cell) = 30.44
- energy of formation (meV/atom) = 13

## Pr5CO5 (PBE)

Data for a geometry-optimized Pr5CO5 structure.

a b c (Å): 11.6110 5.0608 7.2860
angles (deg): 90.00 108.91 90.00
Closest atoms and distances in Å follow each position.
Space group C2/m (No. 12)
Inequivalent atoms, fractional coordinates:
Pr 0.0000 0.0000 0.0000 x2  2 C 2.53, 4 O 2.57-2.64
Pr 0.1554 0.5000 0.8184 x4  5 O 2.43-2.55, 1 C 2.56
Pr 0.1664 0.5000 0.3338 x4  5 O 2.54-2.59, 1 C 2.57
C 0.0000 0.5000 0.0000 x2  6 Pr 2.53-2.57
O 0.0000 0.5000 0.5000 x2  4 Pr 2.43-2.59
O 0.1780 0.0000 0.3203 x4  5 Pr 2.46-2.58
O 0.1819 0.0000 0.8572 x4  5 Pr 2.50-2.64

- density of states at the Fermi level (states/eV/cell) = 6.34
- raw formation energy (eV/atom) = -2.4101